[1]
Below is an optimized crystal structure of BaCr4Cl, with properties calculated at the GGA-PBEsol level.

Lattice parameters (Å, degrees): 5.322 5.322 5.322 60.00 60.00 60.00
Positions (direct):
Ba 0.750 0.750 0.750
Cl 0.000 0.000 0.000
Cr 0.392 0.392 0.392
Cr 0.392 0.392 0.825
Cr 0.825 0.392 0.392
Cr 0.392 0.825 0.392

[2]
Below is an optimized crystal structure of BaCr2Cl, with properties calculated at the GGA-PBEsol level.

Lattice parameters (Å, degrees): 5.424 5.424 5.424 60.00 60.00 60.00
Positions (direct):
Cr 0.250 0.250 0.250
Cr 0.750 0.750 0.750
Ba 0.500 0.500 0.500
Cl 0.000 0.000 0.000

[3]
Below is an optimized crystal structure of Ba2CrCl, with properties calculated at the GGA-PBEsol level.

Lattice parameters (Å, degrees): 3.743 5.848 5.771 90.00 90.00 90.00
Positions (direct):
Cr 0.500 0.000 0.500
Ba 0.000 0.000 0.000
Ba 0.000 0.500 0.500
Cl 0.500 0.500 0.000

[4]
Below is an optimized crystal structure of Ba2Cr2Cl, with properties calculated at the GGA-PBEsol level.

Lattice parameters (Å, degrees): 5.895 5.895 5.895 96.23 116.47 116.47
Positions (direct):
Cr 0.000 0.612 0.612
Cr 0.000 0.388 0.388
Ba 0.500 0.750 0.250
Ba 0.500 0.250 0.750
Cl 0.000 0.000 0.000

[5]
Below is an optimized crystal structure of BaMg2CrCl, with properties calculated at the GGA-PBEsol level.

Lattice parameters (Å, degrees): 4.967 5.398 5.398 90.00 90.00 90.00
Positions (direct):
Cr 0.000 0.000 0.000
Mg 0.000 0.000 0.500
Mg 0.000 0.500 0.000
Ba 0.500 0.500 0.500
Cl 0.500 0.000 0.000

[6]
Below is an optimized crystal structure of BaCrPCl2, with properties calculated at the GGA-PBEsol level.

Lattice parameters (Å, degrees): 4.688 4.894 4.894 90.00 90.00 90.00
Positions (direct):
Cr 0.000 0.000 0.000
Ba 0.500 0.500 0.500
P 0.500 0.000 0.000
Cl 0.000 0.000 0.500
Cl 0.000 0.500 0.000

[7]
Below is an optimized crystal structure of BaCr2SeCl, with properties calculated at the GGA-PBEsol level.

Lattice parameters (Å, degrees): 4.614 4.614 6.388 90.00 90.00 90.00
Positions (direct):
Cr 0.000 0.500 0.000
Cr 0.500 0.000 0.000
Ba 0.000 0.000 0.500
Se 0.500 0.500 0.500
Cl 0.000 0.000 0.000

[8]
Below is an optimized crystal structure of Cs2BaCl4, with properties calculated at the GGA-PBEsol level.

Lattice parameters (Å, degrees): 8.445 8.445 8.445 108.02 110.20 110.20
Positions (direct):
Cs 0.360 0.875 0.735
Cs 0.640 0.375 0.515
Cs 0.140 0.265 0.625
Cs 0.860 0.485 0.125
Ba 0.500 0.750 0.250
Ba 0.000 0.000 0.000
Cl 0.754 0.102 0.716
Cl 0.246 0.962 0.348
Cl 0.886 0.788 0.534
Cl 0.114 0.648 0.902
Cl 0.254 0.466 0.352
Cl 0.746 0.098 0.212
Cl 0.386 0.284 0.038
Cl 0.614 0.652 0.898

Number 1: calculated total energy -6.274 eV per atom, total moment 0.01 μB per formula unit, formation energy (no corrections) 1247 meV/atom. Number 2: calculated total energy -5.185 eV per atom, total moment 11.06 μB per formula unit, formation energy (no corrections) 976 meV/atom. Number 3: calculated total energy -4.397 eV per atom, total moment 4.55 μB per formula unit, formation energy (no corrections) -260 meV/atom. Number 4: calculated total energy -4.786 eV per atom, total moment 0.00 μB per formula unit, formation energy (no corrections) 572 meV/atom. Number 5: calculated total energy -3.474 eV per atom, total moment 3.80 μB per formula unit, formation energy (no corrections) 92 meV/atom. Number 6: calculated total energy -5.499 eV per atom, total moment 3.00 μB per formula unit, formation energy (no corrections) -1060 meV/atom. Number 7: calculated total energy -5.557 eV per atom, total moment 9.26 μB per formula unit, formation energy (no corrections) 141 meV/atom. Number 8: calculated total energy -3.912 eV per atom, total moment 0.00 μB per formula unit, formation energy (no corrections) -2188 meV/atom.